# MgCr2Re (GGA-PBE, relaxed)
# DOS at the Fermi energy: 1.26 states/eV/f.u.
# E_form: 25.5 kJ per mole of atoms
data_MgCr2Re
_chemical_formula_sum 'Mg1 Cr2 Re1'
_cell_length_a 3.047
_cell_length_b 3.047
_cell_length_c 6.314
_cell_angle_alpha 90.00
_cell_angle_beta 90.00
_cell_angle_gamma 90.00
_space_group_name_H-M_alt 'P 4/m m m'
_space_group_IT_number 123
_space_group_name_Hall '-P 4 2'
loop_
_atom_site_label
_atom_site_fract_x
_atom_site_fract_y
_atom_site_fract_z
_atom_site_occupancy
Mg1 0.000 0.000 0.000 1
Cr1 0.500 0.500 0.279 1
Re1 0.000 0.000 0.500 1